The following is a GGA+U calculation of a relaxed Tl2FeF2 crystal, from Alexandria via LeMat-Bulk.

Computed properties:
D(E_F): 1.69 states/eV/f.u.
V: 120.49 Å³/f.u.
VASP energy: -0.285 Ry/atom
crystal system: tetragonal

a b c (Å): 5.9012 5.9012 6.9199
angles (deg): 90.00 90.00 90.00
Last column: nearest neighbours and their distance in Å.
Space group I4/mmm (No. 139)
One atom of each set of equivalent atoms:
Tl 0.0000 0.5000 0.2500 (multiplicity 4)  4 F 2.95
Fe 0.0000 0.0000 0.0000 (multiplicity 2)  2 F 1.89
F 0.0000 0.0000 0.2729 (multiplicity 4)  1 Fe 1.89